--- A ---
Computed, not measured: crystalline Tb3Sm6Dy2 at its relaxed geometry at the GGA-PBE level of DFT.

The structure in POSCAR format:
```
Tb3Sm6Dy2
1.0
1.797 1.037 32.198
-1.797 1.037 32.198
0.000 -2.075 32.198
Tb Sm Dy
3 6 2
Cartesian
0.000 0.000 0.000
0.000 0.000 26.341
0.000 0.000 70.251
0.000 0.000 8.785
0.000 0.000 17.589
0.000 0.000 35.128
0.000 0.000 61.465
0.000 0.000 79.004
0.000 0.000 87.808
0.000 0.000 43.893
0.000 0.000 52.699
```

space-group type: No. 166
crystal system: trigonal



--- B ---
Computed, not measured: crystalline Tb3Sm6Dy2 at its relaxed geometry at the GGA-PBE level of DFT.

The structure in POSCAR format:
```
Tb3Sm6Dy2
1.0
-2.384 2.384 16.756
2.384 -2.384 16.756
2.384 2.384 -16.756
Tb Sm Dy
3 6 2
Cartesian
0.000 0.000 0.000
0.000 0.000 6.665
0.000 0.000 26.847
2.384 0.000 4.035
0.000 0.000 10.100
2.384 0.000 12.721
0.000 2.384 4.035
0.000 0.000 23.413
0.000 2.384 12.721
0.000 0.000 15.235
0.000 0.000 18.278
```

space-group type: No. 139
crystal system: tetragonal



Best to worst by energy: A, B.